The following is a DFT calculation (GGA-PBE) of a geometry-optimized CuB2 structure.

Unit cell a=2.9802 b=2.9802 c=3.3940 alpha=90.00 beta=90.00 gamma=120.00
Positions (direct):
Cu1 0.0000 0.0000 0.0000
B1 0.3333 0.6667 0.5000
B2 0.6667 0.3333 0.5000

Results
The formation energy is 0.37 eV per atom. The electronic total energy comes out at -0.401 Ry/atom. Its space group is P6/mmm, No. 191. The density of states at the Fermi level is 1.5 states/eV per cell.

The following is a DFT calculation (GGA-PBE) of a geometry-optimized Cu3B structure.

Unit cell a=6.6592 b=6.6592 c=2.9113 alpha=90.00 beta=90.00 gamma=137.09
Positions (direct):
Cu1 0.1647 0.3321 0.7500
Cu2 0.2266 0.7734 0.7500
Cu3 0.3321 0.1647 0.2500
Cu4 0.6679 0.8353 0.7500
Cu5 0.7734 0.2266 0.2500
Cu6 0.8353 0.6679 0.2500
B1 0.3476 0.6524 0.2500
B2 0.6524 0.3476 0.7500

Results
The formation energy is 0.35 eV per atom. The electronic total energy comes out at -0.323 Ry/atom. Its space group is Cmcm, No. 63. The density of states at the Fermi level is 3.2 states/eV per cell.

The following is a DFT calculation (GGA-PBE) of a geometry-optimized CuB structure.

Unit cell a=5.0437 b=5.0437 c=2.4451 alpha=90.00 beta=90.00 gamma=120.00
Positions (direct):
Cu1 0.0000 0.5649 0.0000
Cu2 0.4351 0.4351 0.0000
Cu3 0.5649 0.0000 0.0000
B1 0.0000 0.2042 0.5000
B2 0.2042 0.0000 0.5000
B3 0.7958 0.7958 0.5000

Results
The formation energy is 0.28 eV per atom. The electronic total energy comes out at -0.376 Ry/atom. Its space group is P-62m, No. 189. The density of states at the Fermi level is 1.5 states/eV per cell.

The following is a DFT calculation (GGA-PBE) of a geometry-optimized CuB structure.

Unit cell a=3.8974 b=6.1492 c=6.3754 alpha=90.00 beta=90.00 gamma=90.00
Positions (direct):
Cu1 0.0583 0.0178 0.2912
Cu2 0.0718 0.2926 0.8807
Cu3 0.4282 0.7074 0.3807
Cu4 0.4417 0.9822 0.7912
Cu5 0.5583 0.4822 0.7088
Cu6 0.5718 0.2074 0.1193
Cu7 0.9282 0.7926 0.6193
Cu8 0.9417 0.5178 0.2088
B1 0.0570 0.4620 0.5498
B2 0.2079 0.7734 0.0475
B3 0.2921 0.2266 0.5475
B4 0.4430 0.5380 0.0498
B5 0.5570 0.0380 0.4502
B6 0.7079 0.7266 0.9525
B7 0.7921 0.2734 0.4525
B8 0.9430 0.9620 0.9502

Results
The formation energy is 0.30 eV per atom. The electronic total energy comes out at -0.374 Ry/atom. Its space group is P2_12_12_1, No. 19. The density of states at the Fermi level is 4.5 states/eV per cell.

The following is a DFT calculation (GGA-PBE) of a geometry-optimized CuB structure.

Unit cell a=5.6458 b=5.6458 c=5.6458 alpha=90.00 beta=90.00 gamma=90.00
Positions (direct):
Cu1 0.0000 0.2500 0.5000
Cu2 0.0000 0.7500 0.5000
Cu3 0.2500 0.5000 0.0000
Cu4 0.5000 0.0000 0.2500
Cu5 0.5000 0.0000 0.7500
Cu6 0.7500 0.5000 0.0000
B1 0.0000 0.5000 0.2500
B2 0.0000 0.5000 0.7500
B3 0.2500 0.0000 0.5000
B4 0.5000 0.2500 0.0000
B5 0.5000 0.7500 0.0000
B6 0.7500 0.0000 0.5000

Results
The formation energy is 1.19 eV per atom. The electronic total energy comes out at -0.308 Ry/atom. Its space group is Pm-3n, No. 223. The density of states at the Fermi level is 8.2 states/eV per cell.

The following is a DFT calculation (GGA-PBE) of a geometry-optimized CuB structure.

Unit cell a=3.3078 b=3.3078 c=5.3321 alpha=90.00 beta=90.00 gamma=120.00
Positions (direct):
Cu1 0.3333 0.6667 0.0000
Cu2 0.6667 0.3333 0.5000
B1 0.3333 0.6667 0.6179
B2 0.6667 0.3333 0.1179

Results
The formation energy is 1.18 eV per atom. The electronic total energy comes out at -0.309 Ry/atom. Its space group is P6_3mc, No. 186. The density of states at the Fermi level is 2.4 states/eV per cell.

The following is a DFT calculation (GGA-PBE) of a geometry-optimized CuB structure.

Unit cell a=7.6716 b=6.6112 c=4.4936 alpha=85.13 beta=59.17 gamma=35.71
Positions (direct):
Cu1 0.0307 0.0307 0.2193
Cu2 0.2193 0.2193 0.0307
Cu3 0.7807 0.7807 0.9693
Cu4 0.9693 0.9693 0.7807
B1 0.0935 0.6565 0.0935
B2 0.3435 0.9065 0.3435
B3 0.6565 0.0935 0.6565
B4 0.9065 0.3435 0.9065

Results
The formation energy is 0.34 eV per atom. The electronic total energy comes out at -0.371 Ry/atom. Its space group is Fddd, No. 70. The density of states at the Fermi level is 1.8 states/eV per cell.

The following is a DFT calculation (GGA-PBE) of a geometry-optimized CuB structure.

Unit cell a=3.0540 b=3.0540 c=3.0540 alpha=60.00 beta=60.00 gamma=60.00
Positions (direct):
Cu1 0.0000 0.0000 0.0000
B1 0.5000 0.5000 0.5000

Results
The formation energy is 1.02 eV per atom. The electronic total energy comes out at -0.321 Ry/atom. Its space group is Fm-3m, No. 225. The density of states at the Fermi level is 1.5 states/eV per cell.